(1)
The following is a PBE calculation of a relaxed structure of HfTl2P, from Alexandria.

Output
crystal system: tetragonal
energy relative to the elements: 369 meV/atom
space-group type: I-42d (122)
calculated density: 10.90 g/cm³
excess energy over the best structure of this formula in the dataset: 0 meV per atom

a b c (Å): 6.4204 6.4204 6.4204
angles (deg): 101.28 101.28 127.49
Last column: nearest neighbours and their distance in Å.
Fractional positions:
Hf (0.0000, 0.0000, 0.0000)  2 P 2.84, 4 Tl 3.09
Hf (0.7500, 0.2500, 0.5000)  2 P 2.84, 4 Tl 3.09
Tl (0.1475, 0.1250, 0.5225)  2 P 2.84, 2 Tl 2.86, 2 Hf 3.09
Tl (0.3750, 0.8525, 0.9775)  2 P 2.84, 2 Tl 2.86, 2 Hf 3.09
Tl (0.6025, 0.6250, 0.4775)  2 P 2.84, 2 Tl 2.86, 2 Hf 3.09
Tl (0.8750, 0.3975, 0.0225)  2 P 2.84, 2 Tl 2.86, 2 Hf 3.09
P (0.2500, 0.7500, 0.5000)  2 Hf 2.84, 4 Tl 2.84
P (0.5000, 0.5000, 0.0000)  2 Hf 2.84, 4 Tl 2.84


(2)
The following is a PBE calculation of a relaxed structure of Ce5Ir3, from Alexandria.

Output
crystal system: tetragonal
energy relative to the elements: -638 meV/atom
space-group type: P4/ncc (130)
calculated density: 11.26 g/cm³

a b c (Å): 11.1456 11.1456 6.0627
angles (deg): 90.00 90.00 90.00
Last column: nearest neighbours and their distance in Å.
Fractional positions:
Ce (0.0355, 0.1600, 0.1572)  5 Ir 2.94-3.16, 1 Ce 3.28
Ce (0.0355, 0.3400, 0.6572)  5 Ir 2.94-3.16, 1 Ce 3.28
Ce (0.1600, 0.0355, 0.6572)  5 Ir 2.94-3.16, 1 Ce 3.28
Ce (0.1600, 0.4645, 0.1572)  5 Ir 2.94-3.16, 1 Ce 3.28
Ce (0.2500, 0.7500, 0.0000)  4 Ir 2.91, 2 Ce 3.03
Ce (0.2500, 0.7500, 0.5000)  4 Ir 2.91, 2 Ce 3.03
Ce (0.3400, 0.0355, 0.1572)  5 Ir 2.94-3.16, 1 Ce 3.28
Ce (0.3400, 0.4645, 0.6572)  5 Ir 2.94-3.16, 1 Ce 3.28
Ce (0.4645, 0.1600, 0.6572)  5 Ir 2.94-3.16, 1 Ce 3.28
Ce (0.4645, 0.3400, 0.1572)  5 Ir 2.94-3.16, 1 Ce 3.28
Ce (0.5355, 0.6600, 0.8428)  5 Ir 2.94-3.16, 1 Ce 3.28
Ce (0.5355, 0.8400, 0.3428)  5 Ir 2.94-3.16, 1 Ce 3.28
Ce (0.6600, 0.5355, 0.3428)  5 Ir 2.94-3.16, 1 Ce 3.28
Ce (0.6600, 0.9645, 0.8428)  5 Ir 2.94-3.16, 1 Ce 3.28
Ce (0.7500, 0.2500, 0.0000)  4 Ir 2.91, 2 Ce 3.03
Ce (0.7500, 0.2500, 0.5000)  4 Ir 2.91, 2 Ce 3.03
Ce (0.8400, 0.5355, 0.8428)  5 Ir 2.94-3.16, 1 Ce 3.28
Ce (0.8400, 0.9645, 0.3428)  5 Ir 2.94-3.16, 1 Ce 3.28
Ce (0.9645, 0.6600, 0.3428)  5 Ir 2.94-3.16, 1 Ce 3.28
Ce (0.9645, 0.8400, 0.8428)  5 Ir 2.94-3.16, 1 Ce 3.28
Ir (0.0926, 0.5926, 0.7500)  8 Ce 2.91-3.16
Ir (0.0926, 0.9074, 0.2500)  8 Ce 2.91-3.16
Ir (0.2500, 0.2500, 0.4216)  8 Ce 2.96-3.05, 2 Ir 3.03
Ir (0.2500, 0.2500, 0.9216)  8 Ce 2.96-3.05, 2 Ir 3.03
Ir (0.4074, 0.5926, 0.2500)  8 Ce 2.91-3.16
Ir (0.4074, 0.9074, 0.7500)  8 Ce 2.91-3.16
Ir (0.5926, 0.0926, 0.2500)  8 Ce 2.91-3.16
Ir (0.5926, 0.4074, 0.7500)  8 Ce 2.91-3.16
Ir (0.7500, 0.7500, 0.0784)  8 Ce 2.96-3.05, 2 Ir 3.03
Ir (0.7500, 0.7500, 0.5784)  8 Ce 2.96-3.05, 2 Ir 3.03
Ir (0.9074, 0.0926, 0.7500)  8 Ce 2.91-3.16
Ir (0.9074, 0.4074, 0.2500)  8 Ce 2.91-3.16


(3)
The following is a PBE calculation of a relaxed structure of ReBr6N2, from Alexandria.

Output
crystal system: cubic
space-group type: Fm-3m (225)
calculated density: 4.05 g/cm³
ΔE_f (raw): 9.0 eV/f.u.

a b c (Å): 7.3834 7.3834 7.3834
angles (deg): 60.00 60.00 60.00
Last column: nearest neighbours and their distance in Å.
Fractional positions:
Re (0.0000, 0.0000, 0.0000)  6 Br 2.46
Br (0.2360, 0.2360, 0.7640)  1 Re 2.46
Br (0.2360, 0.7640, 0.2360)  1 Re 2.46
Br (0.2360, 0.7640, 0.7640)  1 Re 2.46
Br (0.7640, 0.2360, 0.2360)  1 Re 2.46
Br (0.7640, 0.2360, 0.7640)  1 Re 2.46
Br (0.7640, 0.7640, 0.2360)  1 Re 2.46
N (0.2500, 0.2500, 0.2500)  12 Br 3.69
N (0.7500, 0.7500, 0.7500)  12 Br 3.69


(4)
The following is a PBE calculation of a relaxed structure of BeTe3, from Alexandria.

Output
crystal system: orthorhombic
space-group type: Cmmm (65)
calculated density: 6.22 g/cm³
ΔE_f (raw): 1.1 eV/f.u.
excess energy over the best structure of this formula in the dataset: 255 meV per atom

a b c (Å): 3.7089 3.7089 8.7262
angles (deg): 90.00 90.00 119.39
Last column: nearest neighbours and their distance in Å.
Fractional positions:
Be (0.0000, 0.0000, 0.0000)  4 Te 2.47
Te (0.0000, 0.0000, 0.5000)  8 Te 3.33-3.71
Te (0.5000, 0.5000, 0.1848)  2 Be 2.47
Te (0.5000, 0.5000, 0.8152)  2 Be 2.47


(5)
The following is a PBE calculation of a relaxed structure of Li2Ac3SbO8, from Alexandria.

Output
crystal system: trigonal
space-group type: P-3m1 (164)
calculated density: 7.76 g/cm³
ΔE_f (raw): -35.2 eV/f.u.

a b c (Å): 5.6924 5.6924 7.2011
angles (deg): 90.00 90.00 120.00
Last column: nearest neighbours and their distance in Å.
Fractional positions:
Li (0.3333, 0.6667, 0.2062)  4 O 1.80-1.93
Li (0.6667, 0.3333, 0.7938)  4 O 1.80-1.93
Ac (0.0000, 0.0000, 0.0000)  6 O 2.86
Ac (0.3333, 0.6667, 0.6542)  1 O 2.17
Ac (0.6667, 0.3333, 0.3458)  1 O 2.17
Sb (0.0000, 0.0000, 0.5000)  6 O 2.00
O (0.1603, 0.3205, 0.3303)  1 Li 1.93, 1 Sb 2.00
O (0.1603, 0.8397, 0.3303)  1 Li 1.93, 1 Sb 2.00
O (0.3205, 0.1603, 0.6697)  1 Li 1.93, 1 Sb 2.00
O (0.3333, 0.6667, 0.9562)  1 Li 1.80
O (0.6667, 0.3333, 0.0438)  1 Li 1.80
O (0.6795, 0.8397, 0.3303)  1 Li 1.93, 1 Sb 2.00
O (0.8397, 0.1603, 0.6697)  1 Li 1.93, 1 Sb 2.00
O (0.8397, 0.6795, 0.6697)  1 Li 1.93, 1 Sb 2.00


(6)
The following is a PBE calculation of a relaxed structure of Cs2RbLiZn, from Alexandria.

Output
crystal system: tetragonal
energy relative to the elements: 155 meV/atom
space-group type: P4/mmm (123)
calculated density: 2.19 g/cm³

a b c (Å): 7.5240 7.5240 5.6667
angles (deg): 90.00 90.00 90.00
Last column: nearest neighbours and their distance in Å.
Fractional positions:
Cs (0.0000, 0.5000, 0.0000)  2 Zn 3.76
Cs (0.5000, 0.0000, 0.0000)  2 Zn 3.76
Rb (0.0000, 0.0000, 0.5000)  8 Cs 4.71
Li (0.5000, 0.5000, 0.5000)  2 Zn 2.83
Zn (0.5000, 0.5000, 0.0000)  2 Li 2.83


(7)
The following is a PBE calculation of a relaxed structure of BaLiIr2F, from Alexandria.

Output
crystal system: tetragonal
space-group type: P4/mmm (123)
calculated density: 9.51 g/cm³
ΔE_f (raw): 1.0 eV/f.u.
excess energy over the best structure of this formula in the dataset: 0 meV per atom

a b c (Å): 4.6686 4.6686 4.3858
angles (deg): 90.00 90.00 90.00
Last column: nearest neighbours and their distance in Å.
Fractional positions:
Ba (0.0000, 0.0000, 0.0000)  8 Ir 3.20, 4 Li 3.30
Li (0.5000, 0.5000, 0.0000)  2 F 2.19
Ir (0.0000, 0.5000, 0.5000)  2 F 2.33
Ir (0.5000, 0.0000, 0.5000)  2 F 2.33
F (0.5000, 0.5000, 0.5000)  2 Li 2.19, 4 Ir 2.33


(8)
The following is a PBE calculation of a relaxed structure of BaCu3Ni2, from Alexandria.

Output
crystal system: orthorhombic
energy relative to the elements: -8 meV/atom
space-group type: Cmcm (63)
calculated density: 7.22 g/cm³

a b c (Å): 6.5042 6.5042 4.9839
angles (deg): 90.00 90.00 76.32
Last column: nearest neighbours and their distance in Å.
Fractional positions:
Ba (0.1721, 0.8279, 0.7500)  9 Cu 3.12-3.29
Ba (0.8279, 0.1721, 0.2500)  9 Cu 3.12-3.29
Cu (0.0319, 0.5599, 0.2500)  4 Ni 2.46-2.47, 3 Cu 2.60-2.67
Cu (0.4295, 0.5705, 0.2500)  4 Ni 2.47, 4 Cu 2.60-2.74
Cu (0.4401, 0.9681, 0.2500)  4 Ni 2.46-2.47, 3 Cu 2.60-2.67
Cu (0.5599, 0.0319, 0.7500)  4 Ni 2.46-2.47, 3 Cu 2.60-2.67
Cu (0.5705, 0.4295, 0.7500)  4 Ni 2.47, 4 Cu 2.60-2.74
Cu (0.9681, 0.4401, 0.7500)  4 Ni 2.46-2.47, 3 Cu 2.60-2.67
Ni (0.2984, 0.2984, 0.0000)  6 Cu 2.46-2.47, 2 Ni 2.49
Ni (0.2984, 0.2984, 0.5000)  6 Cu 2.46-2.47, 2 Ni 2.49
Ni (0.7016, 0.7016, 0.0000)  6 Cu 2.46-2.47, 2 Ni 2.49
Ni (0.7016, 0.7016, 0.5000)  6 Cu 2.46-2.47, 2 Ni 2.49


(9)
The following is a PBE calculation of a relaxed structure of Ce2CoRe, from Alexandria.

Output
crystal system: tetragonal
energy relative to the elements: 87 meV/atom
space-group type: P4/mmm (123)
calculated density: 10.80 g/cm³

a b c (Å): 4.8610 4.8610 3.4185
angles (deg): 90.00 90.00 90.00
Last column: nearest neighbours and their distance in Å.
Fractional positions:
Ce (0.0000, 0.5000, 0.0000)  4 Co 2.97, 4 Re 2.97
Ce (0.5000, 0.0000, 0.0000)  4 Co 2.97, 4 Re 2.97
Co (0.0000, 0.0000, 0.5000)  8 Ce 2.97
Re (0.5000, 0.5000, 0.5000)  8 Ce 2.97


(10)
The following is a PBE calculation of a relaxed structure of MnSb3Mo, from Alexandria.

Output
crystal system: cubic
space-group type: Pm-3m (221)
calculated density: 5.95 g/cm³
ΔE_f (raw): 4.1 eV/f.u.
excess energy over the best structure of this formula in the dataset: 0 meV per atom

a b c (Å): 5.2410 5.2410 5.2410
angles (deg): 90.00 90.00 90.00
Last column: nearest neighbours and their distance in Å.
Fractional positions:
Mn (0.0000, 0.0000, 0.0000)  12 Sb 3.71
Sb (0.0000, 0.5000, 0.5000)  2 Mo 2.62
Sb (0.5000, 0.0000, 0.5000)  2 Mo 2.62
Sb (0.5000, 0.5000, 0.0000)  2 Mo 2.62
Mo (0.5000, 0.5000, 0.5000)  6 Sb 2.62


(11)
The following is a PBE calculation of a relaxed structure of CsAcN, from Alexandria.

Output
crystal system: orthorhombic
space-group type: Imma (74)
calculated density: 7.28 g/cm³
ΔE_f (raw): 1.5 eV/f.u.
excess energy over the best structure of this formula in the dataset: 924 meV per atom

a b c (Å): 6.0518 6.0518 6.0518
angles (deg): 110.13 107.84 110.46
Last column: nearest neighbours and their distance in Å.
Fractional positions:
Cs (0.4595, 0.2095, 0.2500)  2 N 2.68
Cs (0.5405, 0.7905, 0.7500)  2 N 2.68
Ac (0.0000, 0.0000, 0.5000)  4 N 3.03
Ac (0.0000, 0.5000, 0.0000)  4 N 3.03
N (0.0000, 0.5000, 0.5000)  2 Cs 2.68
N (0.5000, 0.5000, 0.0000)  2 Cs 2.68


(12)
The following is a PBE calculation of a relaxed structure of Li2ZrNiI, from Alexandria.

Output
crystal system: tetragonal
space-group type: P4/mmm (123)
calculated density: 4.36 g/cm³
ΔE_f (raw): 3.4 eV/f.u.

a b c (Å): 4.7237 4.7237 4.9653
angles (deg): 90.00 90.00 90.00
Last column: nearest neighbours and their distance in Å.
Fractional positions:
Li (0.0000, 0.5000, 0.0000)  2 I 2.36
Li (0.5000, 0.0000, 0.0000)  2 I 2.36
Zr (0.0000, 0.0000, 0.5000)  4 Ni 3.34, 8 Li 3.43
Ni (0.5000, 0.5000, 0.5000)  2 I 2.48
I (0.5000, 0.5000, 0.0000)  4 Li 2.36, 2 Ni 2.48